MgFe2H: relaxed, GGA-PBE.

a = 5.7390 Å, b = 5.7390 Å, c = 5.7390 Å
α = 90.00°, β = 90.00°, γ = 90.00°
Space group Fm-3m (No. 225)
Symmetry-distinct sites (fractional):
Mg: 0.0000 0.0000 0.0000 [4 per cell]
Fe: 0.2500 0.2500 0.2500 [8 per cell]
H: 0.0000 0.0000 0.5000 [4 per cell]

Summary:
The calculation puts the distance to the lowest polymorph of the same formula at 825 meV per atom. The volume is 11.81 A^3/atom.

---

NaAcAuS2: relaxed, GGA-PBE.

a = 6.2924 Å, b = 5.4610 Å, c = 8.2319 Å
α = 90.00°, β = 90.10°, γ = 90.00°
Space group P2/c (No. 13)
Symmetry-distinct sites (fractional):
Na: 0.0000 0.0007 0.2500 [2 per cell]
Ac: 0.5000 0.5002 0.2500 [2 per cell]
Au: 0.5000 0.0000 0.0000 [2 per cell]
S: 0.2128 0.2928 0.9997 [4 per cell]

Summary:
The value obtained for the uncorrected formation energy is -102 kJ/mol of atoms. The volume is 28.29 A^3/atom.

---

CoTc2W: relaxed, GGA-PBE.

a = 2.7325 Å, b = 3.7751 Å, c = 5.4387 Å
α = 90.00°, β = 90.00°, γ = 90.00°
Space group Pmm2 (No. 25)
Symmetry-distinct sites (fractional):
Co: 0.0000 0.0000 0.0000 [1 per cell]
Tc: 0.0000 0.0000 0.4888 [1 per cell]
Tc: 0.5000 0.5000 0.2472 [1 per cell]
W: 0.5000 0.5000 0.7660 [1 per cell]

Summary:
The calculation puts the distance to the lowest polymorph of the same formula at 77 meV per atom. The calculation puts the energy of formation from the pure elements at 0.44 eV per formula unit. The volume is 14.03 A^3/atom.

---

MgTiCoRe2: relaxed, GGA-PBE.

a = 4.5002 Å, b = 4.5002 Å, c = 4.8389 Å
α = 90.00°, β = 90.00°, γ = 90.00°
Space group P4/mmm (No. 123)
Symmetry-distinct sites (fractional):
Mg: 0.0000 0.0000 0.0000 [1 per cell]
Ti: 0.0000 0.0000 0.5000 [1 per cell]
Co: 0.5000 0.5000 0.0000 [1 per cell]
Re: 0.0000 0.5000 0.5000 [2 per cell]

Summary:
The calculation puts the energy of formation from the pure elements at 9.46 eV per formula unit. The volume is 19.60 A^3/atom.

---

KSiHg2Se4: relaxed, GGA-PBE.

a = 10.3677 Å, b = 10.5059 Å, c = 8.6035 Å
α = 90.00°, β = 90.00°, γ = 90.00°
Space group Fmm2 (No. 42)
Symmetry-distinct sites (fractional):
K: 0.0000 0.0000 0.0000 [4 per cell]
Si: 0.0000 0.0000 0.4968 [4 per cell]
Hg: 0.2500 0.2500 0.2280 [8 per cell]
Se: 0.0000 0.1849 0.3550 [8 per cell]
Se: 0.1864 0.0000 0.6469 [8 per cell]

Summary:
The value obtained for the uncorrected formation energy is -46 kJ/mol of atoms. The volume is 29.28 A^3/atom.

---

HoTm2Bi3: relaxed, GGA-PBE.

a = 4.4403 Å, b = 6.2751 Å, c = 13.3215 Å
α = 90.00°, β = 90.00°, γ = 90.00°
Space group Immm (No. 71)
Symmetry-distinct sites (fractional):
Ho: 0.0000 0.0000 0.0000 [2 per cell]
Tm: 0.0000 0.0000 0.3337 [4 per cell]
Bi: 0.0000 0.5000 0.0000 [2 per cell]
Bi: 0.0000 0.5000 0.3322 [4 per cell]

Summary:
The calculation puts the energy of formation from the pure elements at -4.80 eV per formula unit. The volume is 30.93 A^3/atom.

---

CsCd4In2Sn: relaxed, GGA-PBE.

a = 5.1298 Å, b = 5.1298 Å, c = 34.6201 Å
α = 90.00°, β = 90.00°, γ = 120.00°
Space group R-3m (No. 166, hexagonal axes)
Symmetry-distinct sites (fractional):
Cs: 0.0000 0.0000 0.0000 [3 per cell]
Cd: 0.0000 0.0000 0.1334 [6 per cell]
Cd: 0.0000 0.0000 0.4079 [6 per cell]
In: 0.0000 0.0000 0.2310 [6 per cell]
Sn: 0.0000 0.0000 0.5000 [3 per cell]

Summary:
The calculation puts the energy of formation from the pure elements at 0.04 eV per formula unit. The volume is 32.87 A^3/atom.

---

Ag2Ru: relaxed, GGA-PBE.

a = 6.7382 Å, b = 6.7382 Å, c = 4.7014 Å
α = 90.00°, β = 90.00°, γ = 90.00°
Space group I4/mcm (No. 140)
Symmetry-distinct sites (fractional):
Ag: 0.1514 0.3486 0.0000 [8 per cell]
Ru: 0.0000 0.0000 0.2500 [4 per cell]

Summary:
The calculation puts the distance to the lowest polymorph of the same formula at 210 meV per atom. The calculation puts the energy of formation from the pure elements at 1.69 eV per formula unit. The volume is 17.79 A^3/atom.

---

Rb2Sn2H3: relaxed, GGA-PBE.

a = 7.2480 Å, b = 3.3969 Å, c = 7.3017 Å
α = 90.00°, β = 114.72°, γ = 90.00°
Space group P2/m (No. 10)
Symmetry-distinct sites (fractional):
Rb: 0.2139 0.0000 0.2915 [2 per cell]
Sn: 0.3025 0.5000 0.8152 [2 per cell]
H: 0.0000 0.5000 0.0000 [1 per cell]
H: 0.4386 0.5000 0.6466 [2 per cell]

Summary:
The value obtained for the total DFT energy (no corrections) is -2.8504 eV per atom. The volume is 23.33 A^3/atom.

---

AcB3O6: relaxed, GGA-PBE.

a = 6.6802 Å, b = 8.5812 Å, c = 8.1770 Å
α = 90.00°, β = 90.00°, γ = 90.00°
Space group Ibam (No. 72)
Symmetry-distinct sites (fractional):
Ac: 0.0000 0.0000 0.2500 [4 per cell]
B: 0.0000 0.5000 0.2500 [4 per cell]
B: 0.1005 0.3258 0.0000 [8 per cell]
O: 0.0440 0.1752 0.0000 [8 per cell]
O: 0.1374 0.4056 0.1476 [16 per cell]

Summary:
The value obtained for the uncorrected formation energy is -267 kJ/mol of atoms. The calculation puts the distance to the lowest polymorph of the same formula at 0 meV per atom. The volume is 11.72 A^3/atom.

---

MgTaMn: relaxed, GGA-PBE.

a = 3.0541 Å, b = 3.0541 Å, c = 6.5663 Å
α = 90.00°, β = 90.00°, γ = 120.00°
Space group P3m1 (No. 156)
Symmetry-distinct sites (fractional):
Mg: 0.0000 0.0000 0.0000 [1 per cell]
Ta: 0.3333 0.6667 0.6047 [1 per cell]
Mn: 0.6667 0.3333 0.3433 [1 per cell]

Summary:
The calculation puts the distance to the lowest polymorph of the same formula at 183 meV per atom. The calculation puts the energy of formation from the pure elements at 1.07 eV per formula unit. The volume is 17.68 A^3/atom.

---

TiGa2: relaxed, GGA-PBE.

a = 5.0192 Å, b = 5.2586 Å, c = 4.2731 Å
α = 90.00°, β = 113.84°, γ = 90.00°
Space group C2/m (No. 12)
Symmetry-distinct sites (fractional):
Ti: 0.0000 0.0000 0.0000 [2 per cell]
Ga: 0.1415 0.5000 0.3177 [4 per cell]

Summary:
The calculation puts the energy of formation from the pure elements at -0.23 eV per formula unit. The volume is 17.19 A^3/atom.